The following is a GGA-PBE calculation of a relaxed structure of Pd2Rh, from Alexandria via LeMat-Bulk.

Calculated values
As for the energy of formation: 85 meV/atom. The total energy comes out at -5.83 eV per atom. Its offset from the most stable computed form is 5.0 meV per atom. The density of states at the Fermi level is 4.28 states/eV/f.u.

Unit cell a=4.8008 b=4.8152 c=4.7967 alpha=59.98 beta=131.39 gamma=79.93
Closest atoms and distances in Å follow each position.
Fractional positions:
Pd 0.2815 0.3602 0.8835  7 Pd 2.75-2.79, 5 Rh 2.77-2.78
Pd 0.2815 0.6907 0.2224  7 Pd 2.75-2.79, 5 Rh 2.77-2.78
Rh 0.2815 0.0255 0.5530  2 Rh 2.76, 10 Pd 2.77-2.78